(1)
## EuScInCu (GGA-PBE)

Data for an optimized crystal structure of EuScInCu.

Output
- Energy of formation from the pure elements: -0.181 eV per atom

Lattice parameters (Å, degrees): 7.2496 7.2496 7.2496 90.00 90.00 90.00
Closest atoms and distances in Å follow each position.
Space group F-43m (No. 216)
Symmetry-distinct sites (fractional):
1 Eu 0.0000 0.0000 0.0000 [4 per cell]  4 In 3.14, 4 Cu 3.14
2 Sc 0.0000 0.0000 0.5000 [4 per cell]  4 In 3.14, 4 Cu 3.14
3 In 0.2500 0.2500 0.7500 [4 per cell]  4 Sc 3.14, 4 Eu 3.14
4 Cu 0.2500 0.2500 0.2500 [4 per cell]  4 Sc 3.14, 4 Eu 3.14

(2)
## BeCoBTe (GGA-PBE)

Data for an optimized crystal structure of BeCoBTe.

Output
- Formation energy from raw total energies: 105 meV per atom
- ΔE to the lowest computed polymorph: 47 meV per atom

Lattice parameters (Å, degrees): 3.3805 3.3816 5.9773 106.18 90.08 119.97
Closest atoms and distances in Å follow each position.
Space group P1 (No. 1)
Symmetry-distinct sites (fractional):
1 Be 0.0000 0.0000 0.0000 [1 per cell]  3 B 2.02, 3 Co 2.24
2 Co 0.3982 0.7953 0.1955 [1 per cell]  3 B 2.04, 3 Be 2.24
3 B 0.6962 0.3919 0.0888 [1 per cell]  3 Be 2.02, 3 Co 2.04
4 Te 0.8406 0.6781 0.5244 [1 per cell]  1 B 2.46, 1 Be 2.69, 3 Co 2.70

(3)
## CeOs2 (GGA-PBE)

Data for an optimized crystal structure of CeOs2.

Output
- Energy of formation from the pure elements: -0.244 eV per atom

Lattice parameters (Å, degrees): 5.3495 5.3495 8.9492 90.00 90.00 120.00
Closest atoms and distances in Å follow each position.
Space group P6_3/mmc (No. 194)
Symmetry-distinct sites (fractional):
1 Ce 0.3333 0.6667 0.0700 [4 per cell]  12 Os 3.12-3.24, 4 Ce 3.22-3.33
2 Os 0.0000 0.0000 0.0000 [2 per cell]  6 Os 2.74
3 Os 0.1705 0.3410 0.7500 [6 per cell]  6 Os 2.61-2.74

(4)
## MnCrPt (GGA-PBE)

Data for an optimized crystal structure of MnCrPt.

Output
- Energy of formation from the pure elements: -0.104 eV per atom
- ΔE to the lowest computed polymorph: 43 meV per atom

Lattice parameters (Å, degrees): 2.8083 2.8083 10.7017 90.00 90.00 90.00
Closest atoms and distances in Å follow each position.
Space group I4mm (No. 107)
Symmetry-distinct sites (fractional):
1 Mn 0.0000 0.0000 0.0000 [2 per cell]  4 Cr 2.55, 4 Pt 2.74, 4 Mn 2.81
2 Cr 0.0000 0.0000 0.3512 [2 per cell]  4 Mn 2.55, 4 Pt 2.73, 4 Cr 2.81
3 Pt 0.0000 0.0000 0.6760 [2 per cell]  4 Cr 2.73, 4 Mn 2.74, 4 Pt 2.81

(5)
## LiGaBi2P (GGA-PBE)

Data for an optimized crystal structure of LiGaBi2P.

Output
- Energy of formation from the pure elements: 0.584 eV per atom

Lattice parameters (Å, degrees): 5.4327 5.4327 4.6796 90.00 90.00 90.00
Closest atoms and distances in Å follow each position.
Space group P4/mmm (No. 123)
Symmetry-distinct sites (fractional):
1 Li 0.0000 0.0000 0.0000 [1 per cell]  2 Ga 2.34
2 Ga 0.0000 0.0000 0.5000 [1 per cell]  2 Li 2.34
3 Bi 0.0000 0.5000 0.5000 [2 per cell]  2 Ga 2.72
4 P 0.5000 0.5000 0.0000 [1 per cell]  8 Bi 3.59, 4 Li 3.84

(6)
## TmMn7Fe5 (GGA-PBE)

Data for an optimized crystal structure of TmMn7Fe5.

Output
- Energy of formation from the pure elements: -0.010 eV per atom

Lattice parameters (Å, degrees): 4.6726 8.2550 8.3005 90.00 90.00 90.00
Closest atoms and distances in Å follow each position.
Space group Imm2 (No. 44)
Symmetry-distinct sites (fractional):
1 Tm 0.0000 0.0000 0.0000 [2 per cell]  10 Mn 2.97-3.03, 10 Fe 3.00-3.16
2 Mn 0.0000 0.0000 0.3639 [2 per cell]  1 Mn 2.28, 4 Fe 2.55
3 Mn 0.0000 0.0000 0.6385 [2 per cell]  1 Mn 2.28, 4 Fe 2.55
4 Mn 0.0000 0.2770 0.5017 [4 per cell]  5 Fe 2.39-2.64, 5 Mn 2.55-2.65
5 Mn 0.0000 0.3604 0.0027 [4 per cell]  2 Mn 2.31-2.53, 5 Fe 2.53-2.56
6 Mn 0.0000 0.5000 0.7315 [2 per cell]  4 Fe 2.38, 6 Mn 2.53-2.65
7 Fe 0.0000 0.5000 0.2739 [2 per cell]  4 Fe 2.38, 6 Mn 2.53-2.64
8 Fe 0.2499 0.2501 0.2513 [8 per cell]  3 Fe 2.34-2.38, 7 Mn 2.38-2.56

no.,total magnetization (μB per cell)
1,27.231
2,0.001
3,0.000
4,0.784
5,0.000
6,8.426